No. 1
A plane-wave DFT calculation with GGA-PBE was carried out for an optimized crystal structure of SiAg2Te.

## Properties
Offset from the most stable computed form (meV per atom): 51

Cell: 4.490 4.490 5.777 Å, 102.95 102.95 48.41°
Positions (direct):
Si: 0.000 0.000 0.000
Ag: 0.261 0.261 0.803
Ag: 0.739 0.739 0.197
Te: 0.500 0.500 0.500

No. 2
A plane-wave DFT calculation with GGA-PBE was carried out for an optimized crystal structure of SiAg3Te4.

Cell: 7.712 7.712 7.712 Å, 131.73 131.73 70.65°
Positions (direct):
Si: 0.000 0.000 0.000
Ag: 0.250 0.750 0.500
Ag: 0.500 0.500 0.000
Ag: 0.750 0.250 0.500
Te: 0.115 0.648 0.000
Te: 0.352 0.352 0.467
Te: 0.648 0.115 0.000
Te: 0.885 0.885 0.533

No. 3
A plane-wave DFT calculation with GGA-PBE was carried out for an optimized crystal structure of SiAg3Te4.

Cell: 8.677 7.730 7.434 Å, 90.00 90.00 90.00°
Positions (direct):
Si: 0.000 0.174 0.000
Si: 0.500 0.826 0.500
Ag: 0.000 0.851 0.501
Ag: 0.244 0.674 0.988
Ag: 0.256 0.326 0.488
Ag: 0.500 0.149 0.001
Ag: 0.744 0.326 0.488
Ag: 0.756 0.674 0.988
Te: 0.000 0.179 0.655
Te: 0.000 0.865 0.125
Te: 0.239 0.332 0.115
Te: 0.261 0.668 0.615
Te: 0.500 0.135 0.625
Te: 0.500 0.821 0.155
Te: 0.739 0.668 0.615
Te: 0.761 0.332 0.115

No. 4
A plane-wave DFT calculation with GGA-PBE was carried out for an optimized crystal structure of Si2AgTe4.

## Properties
Offset from the most stable computed form (meV per atom): 0

Cell: 6.704 6.704 6.704 Å, 103.97 103.97 121.14°
Positions (direct):
Si: 0.250 0.750 0.500
Si: 0.750 0.250 0.500
Ag: 0.000 0.000 0.000
Te: 0.165 0.683 0.847
Te: 0.317 0.165 0.482
Te: 0.683 0.835 0.518
Te: 0.835 0.317 0.153

No. 5
A plane-wave DFT calculation with GGA-PBE was carried out for an optimized crystal structure of SiAgTe2.

## Properties
Offset from the most stable computed form (meV per atom): 116

Cell: 8.677 8.677 8.677 Å, 27.00 27.00 27.00°
Positions (direct):
Si: 0.000 0.000 0.000
Ag: 0.500 0.500 0.500
Te: 0.394 0.394 0.394
Te: 0.606 0.606 0.606

No. 6
A plane-wave DFT calculation with GGA-PBE was carried out for an optimized crystal structure of SiAgTe2.

## Properties
Offset from the most stable computed form (meV per atom): 146

Cell: 9.565 9.565 9.565 Å, 22.17 22.17 22.17°
Positions (direct):
Si: 0.000 0.000 0.000
Ag: 0.270 0.270 0.270
Te: 0.533 0.533 0.533
Te: 0.724 0.724 0.724

No. 7
A plane-wave DFT calculation with GGA-PBE was carried out for an optimized crystal structure of SiAg2Te4.

## Properties
Offset from the most stable computed form (meV per atom): 156

Cell: 10.656 10.656 6.736 Å, 90.00 90.00 90.00°
Positions (direct):
Si: 0.250 0.250 0.025
Si: 0.250 0.250 0.525
Si: 0.750 0.750 0.475
Si: 0.750 0.750 0.975
Ag: 0.079 0.579 0.250
Ag: 0.079 0.921 0.750
Ag: 0.421 0.579 0.750
Ag: 0.421 0.921 0.250
Ag: 0.579 0.079 0.750
Ag: 0.579 0.421 0.250
Ag: 0.921 0.079 0.250
Ag: 0.921 0.421 0.750
Te: 0.006 0.181 0.613
Te: 0.006 0.319 0.113
Te: 0.181 0.006 0.113
Te: 0.181 0.494 0.613
Te: 0.319 0.006 0.613
Te: 0.319 0.494 0.113
Te: 0.494 0.181 0.113
Te: 0.494 0.319 0.613
Te: 0.506 0.681 0.387
Te: 0.506 0.819 0.887
Te: 0.681 0.506 0.887
Te: 0.681 0.994 0.387
Te: 0.819 0.506 0.387
Te: 0.819 0.994 0.887
Te: 0.994 0.681 0.887
Te: 0.994 0.819 0.387

No. 8
A plane-wave DFT calculation with GGA-PBE was carried out for an optimized crystal structure of Si2Ag2Te.

## Properties
Offset from the most stable computed form (meV per atom): 81

Cell: 8.161 8.161 2.996 Å, 90.00 90.00 90.00°
Positions (direct):
Si: 0.185 0.315 0.000
Si: 0.315 0.815 0.000
Si: 0.685 0.185 0.000
Si: 0.815 0.685 0.000
Ag: 0.119 0.619 0.500
Ag: 0.381 0.119 0.500
Ag: 0.619 0.881 0.500
Ag: 0.881 0.381 0.500
Te: 0.000 0.000 0.000
Te: 0.500 0.500 0.000

No. 9
A plane-wave DFT calculation with GGA-PBE was carried out for an optimized crystal structure of SiAg2Te.

## Properties
Offset from the most stable computed form (meV per atom): 117

Cell: 8.635 8.635 8.635 Å, 22.68 22.68 22.68°
Positions (direct):
Si: 0.000 0.000 0.000
Ag: 0.262 0.262 0.262
Ag: 0.738 0.738 0.738
Te: 0.500 0.500 0.500

No. 10
A plane-wave DFT calculation with GGA-PBE was carried out for an optimized crystal structure of TlSiAgTe4.

Cell: 7.087 6.519 10.838 Å, 90.00 104.17 90.00°
Positions (direct):
Tl: 0.180 0.250 0.020
Tl: 0.820 0.750 0.980
Si: 0.254 0.750 0.288
Si: 0.746 0.250 0.712
Ag: 0.130 0.250 0.524
Ag: 0.870 0.750 0.476
Te: 0.028 0.504 0.717
Te: 0.028 0.996 0.717
Te: 0.360 0.750 0.088
Te: 0.491 0.750 0.506
Te: 0.509 0.250 0.494
Te: 0.640 0.250 0.912
Te: 0.972 0.004 0.283
Te: 0.972 0.496 0.283

No. 11
A plane-wave DFT calculation with GGA-PBE was carried out for an optimized crystal structure of YSiAgTe2.

Cell: 5.771 5.771 5.474 Å, 90.00 90.00 90.00°
Positions (direct):
Y: 0.000 0.000 0.000
Si: 0.500 0.500 0.500
Ag: 0.000 0.000 0.500
Te: 0.000 0.500 0.000
Te: 0.500 0.000 0.000

No. 12
A plane-wave DFT calculation with GGA-PBE was carried out for an optimized crystal structure of ZnSiAg2Te4.

Cell: 7.807 7.807 6.163 Å, 66.76 66.75 46.50°
Positions (direct):
Zn: 0.000 0.000 0.000
Si: 0.500 0.500 0.500
Ag: 0.251 0.251 0.249
Ag: 0.751 0.751 0.749
Te: 0.145 0.622 0.855
Te: 0.378 0.856 0.144
Te: 0.622 0.145 0.378
Te: 0.856 0.378 0.622

Total moment for the records above, in order: 0.00 0.00 0.00 0.00 0.00 0.00 0.00 0.00 0.00 0.00 0.00 0.00 μB per atom
Uncorrected formation energy for the records above, in order: 0.25 -0.07 -0.06 0.04 0.15 0.18 0.17 0.40 0.32 -0.07 0.52 -0.16 eV per atom